1.
First-principles (PBEsol) data for a geometry-optimized ZrTeRu2 structure, as listed in Alexandria via LeMat-Bulk.

Calculated values
crystal system = trigonal
N(E_F) = 9.55 states/eV per cell

Unit cell a=3.1677 b=3.1677 c=24.5637 alpha=90.00 beta=90.00 gamma=120.00
Last column: nearest neighbours and their distance in Å.
Element x y z (fractional)
Zr: 0.0000 0.0000 0.0000  6 Ru 2.72
Zr: 0.3333 0.6667 0.6667  6 Ru 2.72
Zr: 0.6667 0.3333 0.3333  6 Ru 2.72
Te: 0.0000 0.0000 0.5000  6 Ru 2.77
Te: 0.3333 0.6667 0.1667  6 Ru 2.77
Te: 0.6667 0.3333 0.8333  6 Ru 2.77
Ru: 0.0000 0.0000 0.2512  3 Zr 2.72, 3 Te 2.77
Ru: 0.0000 0.0000 0.7488  3 Zr 2.72, 3 Te 2.77
Ru: 0.3333 0.6667 0.4154  3 Zr 2.72, 3 Te 2.77
Ru: 0.3333 0.6667 0.9179  3 Zr 2.72, 3 Te 2.77
Ru: 0.6667 0.3333 0.0821  3 Zr 2.72, 3 Te 2.77
Ru: 0.6667 0.3333 0.5846  3 Zr 2.72, 3 Te 2.77

=====

2.
First-principles (PBEsol) data for a geometry-optimized ZrTeRu2 structure, as listed in Alexandria via LeMat-Bulk.

Calculated values
crystal system = tetragonal
N(E_F) = 7.91 states/eV per cell

Unit cell a=3.8742 b=3.8742 c=8.8762 alpha=90.00 beta=90.00 gamma=90.00
Last column: nearest neighbours and their distance in Å.
Element x y z (fractional)
Zr: 0.0000 0.0000 0.0000  8 Ru 2.74-2.95, 4 Te 2.95
Zr: 0.5000 0.5000 0.5000  8 Ru 2.74-2.95, 4 Te 2.95
Te: 0.0000 0.5000 0.2500  8 Ru 2.74-2.95, 4 Zr 2.95
Te: 0.5000 0.0000 0.7500  8 Ru 2.74-2.95, 4 Zr 2.95
Ru: 0.0000 0.0000 0.5000  4 Zr 2.74, 4 Ru 2.95, 4 Te 2.95
Ru: 0.0000 0.5000 0.7500  4 Te 2.74, 4 Zr 2.95, 4 Ru 2.95
Ru: 0.5000 0.0000 0.2500  4 Te 2.74, 4 Zr 2.95, 4 Ru 2.95
Ru: 0.5000 0.5000 0.0000  4 Zr 2.74, 4 Ru 2.95, 4 Te 2.95

=====

| no. | calculated volume (Å³ per atom) | total moment (μB/cell) | uncorrected formation energy (eV per formula unit) |
| --- | --- | --- | --- |
| 1 | 17.8 | 0.00 | 0.498 |
| 2 | 16.7 | 0.00 | -0.686 |